Record 1
First-principles (PBE-GGA) data for a relaxed CsLa2ZnOs crystal, as listed in the Alexandria database.

Computed properties:
- Energy of formation: 3.819 eV per formula unit
- Magnetic moment: 0.00 μB/f.u.
- Energy: -3.88 eV per atom

abc: 5.752 4.824 5.752
angles: 90.00 90.00 90.00
Element x y z (fractional)
La: 0.000 0.000 0.500
Zn: 0.000 0.000 0.000
Os: 0.000 0.500 0.000
Cs: 0.500 0.500 0.500
La: 0.500 0.000 0.000

Record 2
First-principles (PBE-GGA) data for a relaxed CsLa3P crystal, as listed in the Alexandria database.

Computed properties:
- Energy of formation: -1.047 eV per formula unit
- Magnetic moment: 0.00 μB/f.u.
- Energy: -4.42 eV per atom
- E above lowest polymorph: 0 meV per atom

abc: 5.846 5.846 5.846
angles: 90.00 90.00 90.00
Element x y z (fractional)
La: 0.500 0.000 0.000
La: 0.000 0.000 0.500
P: 0.000 0.000 0.000
Cs: 0.500 0.500 0.500
La: 0.000 0.500 0.000

Record 3
First-principles (PBE-GGA) data for a relaxed Cs2La2P crystal, as listed in the Alexandria database.

Computed properties:
- Energy of formation: 3.741 eV per formula unit
- Magnetic moment: 0.00 μB/f.u.
- Energy: -2.65 eV per atom

abc: 8.589 8.589 4.932
angles: 90.00 90.00 90.00
Element x y z (fractional)
P: 0.500 0.500 0.000
Cs: 0.865 0.635 0.000
La: 0.303 0.197 0.500
Cs: 0.365 0.865 0.000
P: 0.000 0.000 0.000
La: 0.697 0.803 0.500
Cs: 0.135 0.365 0.000
Cs: 0.635 0.135 0.000
La: 0.803 0.303 0.500
La: 0.197 0.697 0.500

Record 4
First-principles (PBE-GGA) data for a relaxed CsLa3P crystal, as listed in the Alexandria database.

Computed properties:
- Energy of formation: 5.502 eV per formula unit
- Magnetic moment: 0.00 μB/f.u.
- Energy: -3.11 eV per atom
- E above lowest polymorph: 1310 meV per atom

abc: 5.771 5.771 5.771
angles: 90.00 90.00 90.00
Element x y z (fractional)
La: 0.500 0.000 0.000
Cs: 0.000 0.000 0.000
La: 0.000 0.000 0.500
La: 0.000 0.500 0.000
P: 0.500 0.500 0.500

Record 5
First-principles (PBE-GGA) data for a relaxed CsLaP2Pt4 crystal, as listed in the Alexandria database.

Computed properties:
- Energy of formation: -5.840 eV per formula unit
- Magnetic moment: 0.00 μB/f.u.
- Energy: -5.83 eV per atom

abc: 4.140 4.140 11.442
angles: 90.00 90.00 90.00
Element x y z (fractional)
P: 0.500 0.500 0.294
Pt: 0.000 0.500 0.802
Pt: 0.500 0.000 0.198
P: 0.500 0.500 0.706
Pt: 0.000 0.500 0.198
Cs: 0.000 0.000 0.500
Pt: 0.500 0.000 0.802
La: 0.000 0.000 0.000

Record 6
First-principles (PBE-GGA) data for a relaxed CsLa2ReP crystal, as listed in the Alexandria database.

Computed properties:
- Energy of formation: 8.998 eV per formula unit
- Magnetic moment: 0.00 μB/f.u.
- Energy: -3.91 eV per atom
- E above lowest polymorph: 1267 meV per atom

abc: 5.824 5.824 4.868
angles: 90.00 90.00 90.00
Element x y z (fractional)
Re: 0.000 0.000 0.500
Cs: 0.000 0.000 0.000
La: 0.500 0.000 0.000
La: 0.000 0.500 0.000
P: 0.500 0.500 0.500

Record 7
First-principles (PBE-GGA) data for a relaxed CsLa2ReP crystal, as listed in the Alexandria database.

Computed properties:
- Energy of formation: 2.664 eV per formula unit
- Magnetic moment: 0.00 μB/f.u.
- Energy: -5.18 eV per atom
- E above lowest polymorph: 0 meV per atom

abc: 5.440 5.603 5.440
angles: 90.00 90.00 90.00
Element x y z (fractional)
Re: 0.000 0.000 0.000
La: 0.500 0.000 0.000
P: 0.500 0.500 0.500
La: 0.000 0.000 0.500
Cs: 0.000 0.500 0.000

Record 8
First-principles (PBE-GGA) data for a relaxed CsLaP2S crystal, as listed in the Alexandria database.

Computed properties:
- Magnetic moment: 2.81 μB/f.u.
- Energy: -4.35 eV per atom
- E above lowest polymorph: 0 meV per atom
- Formation energy from raw total energies: -1.04 eV/f.u.

abc: 5.809 5.809 5.606
angles: 90.00 90.00 90.00
Each line ends with the local moment (μB).
Element x y z (fractional)
P: 0.000 0.500 0.000  0.50
P: 0.500 0.000 0.000  0.50
Cs: 0.500 0.500 0.500  0.02
S: 0.000 0.000 0.500  0.20
La: 0.000 0.000 0.000  0.05

Record 9
First-principles (PBE-GGA) data for a relaxed CsLaP2S crystal, as listed in the Alexandria database.

Computed properties:
- Magnetic moment: 0.00 μB/f.u.
- Energy: -3.37 eV per atom
- E above lowest polymorph: 980 meV per atom
- Formation energy from raw total energies: 3.86 eV/f.u.

abc: 5.370 5.370 5.190
angles: 90.00 90.00 90.00
Element x y z (fractional)
Cs: 0.000 0.000 0.000
P: 0.500 0.000 0.000
S: 0.000 0.000 0.500
P: 0.000 0.500 0.000
La: 0.500 0.500 0.500

Record 10
First-principles (PBE-GGA) data for a relaxed CsLaTcP2 crystal, as listed in the Alexandria database.

Computed properties:
- Energy of formation: -0.111 eV per formula unit
- Magnetic moment: 0.00 μB/f.u.
- Energy: -5.42 eV per atom

abc: 4.949 5.177 4.949
angles: 90.00 90.00 90.00
Element x y z (fractional)
Tc: 0.000 0.000 0.000
Cs: 0.500 0.500 0.500
P: 0.500 0.000 0.000
La: 0.000 0.500 0.000
P: 0.000 0.000 0.500

Record 11
First-principles (PBE-GGA) data for a relaxed Cs2LaTlP crystal, as listed in the Alexandria database.

Computed properties:
- Energy of formation: 1.425 eV per formula unit
- Magnetic moment: 0.86 μB/f.u.
- Energy: -2.60 eV per atom

abc: 7.802 5.340 7.802
angles: 90.00 90.00 90.00
Each line ends with the local moment (μB).
Element x y z (fractional)
Cs: 0.000 0.000 0.500  0.02
P: 0.000 0.500 0.000  0.06
Cs: 0.500 0.000 0.000  0.01
Tl: 0.500 0.500 0.500  0.03
La: 0.000 0.000 0.000  0.17

Record 12
First-principles (PBE-GGA) data for a relaxed CsLa2YP crystal, as listed in the Alexandria database.

Computed properties:
- Energy of formation: 4.797 eV per formula unit
- Magnetic moment: 0.00 μB/f.u.
- Energy: -3.56 eV per atom

abc: 5.781 5.783 5.781
angles: 90.00 90.00 90.00
Element x y z (fractional)
P: 0.500 0.500 0.500
Cs: 0.000 0.500 0.000
La: 0.500 0.000 0.000
La: 0.000 0.000 0.500
Y: 0.000 0.000 0.000

Record 13
First-principles (PBE-GGA) data for a relaxed CsLa2ZnP crystal, as listed in the Alexandria database.

Computed properties:
- Energy of formation: 1.401 eV per formula unit
- Magnetic moment: 0.00 μB/f.u.
- Energy: -3.20 eV per atom

abc: 5.815 4.849 5.815
angles: 90.00 90.00 90.00
Element x y z (fractional)
Cs: 0.500 0.500 0.500
La: 0.000 0.000 0.500
La: 0.500 0.000 0.000
P: 0.000 0.500 0.000
Zn: 0.000 0.000 0.000

Record 14
First-principles (PBE-GGA) data for a relaxed Cs2LaPaS4 crystal, as listed in the Alexandria database.

Computed properties:
- Magnetic moment: 1.86 μB/f.u.
- Energy: -5.72 eV per atom
- Formation energy from raw total energies: -13.10 eV/f.u.

abc: 4.193 7.339 8.470
angles: 106.52 90.00 90.00
Each line ends with the local moment (μB).
Element x y z (fractional)
Pa: 0.500 0.500 0.000  1.26
Cs: 0.500 0.000 0.500  0.01
S: 0.000 0.715 0.184  -0.03
S: 0.500 0.755 0.813  -0.02
S: 0.500 0.245 0.187  -0.02
La: 0.000 0.000 0.000  0.12
S: 0.000 0.285 0.816  -0.03
Cs: 0.000 0.500 0.500  0.01

Record 15
First-principles (PBE-GGA) data for a relaxed CsLa2PaS5 crystal, as listed in the Alexandria database.

Computed properties:
- Magnetic moment: 0.18 μB/f.u.
- Energy: -6.37 eV per atom
- Formation energy from raw total energies: -16.47 eV/f.u.

abc: 5.125 7.460 8.320
angles: 116.64 107.94 90.00
Each line ends with the local moment (μB).
Element x y z (fractional)
S: 0.649 0.381 0.299  0.00
S: 0.351 0.619 0.701  0.00
S: 0.649 0.918 0.299  0.00
S: 0.000 0.000 0.000  -0.01
S: 0.351 0.082 0.701  0.00
La: 0.205 0.205 0.410  0.00
Pa: 0.500 0.000 0.000  0.16
La: 0.795 0.795 0.590  0.00
Cs: 0.000 0.500 0.000  0.00

Record 16
First-principles (PBE-GGA) data for a relaxed Cs2LaPaS6 crystal, as listed in the Alexandria database.

Computed properties:
- Magnetic moment: 0.00 μB/f.u.
- Energy: -5.48 eV per atom
- Formation energy from raw total energies: -13.91 eV/f.u.

abc: 7.757 7.759 7.752
angles: 60.02 60.01 90.00
Element x y z (fractional)
Cs: 0.750 0.250 0.500
La: 0.500 0.500 0.000
S: 0.239 0.760 0.000
Pa: 0.000 0.000 0.000
S: 0.760 0.760 0.479
Cs: 0.250 0.750 0.500
S: 0.239 0.239 0.000
S: 0.240 0.240 0.521
S: 0.761 0.761 0.000
S: 0.761 0.240 0.000

Record 17
First-principles (PBE-GGA) data for a relaxed Cs3La2PaSe6 crystal, as listed in the Alexandria database.

Computed properties:
- Magnetic moment: 1.77 μB/f.u.
- Energy: -5.19 eV per atom
- Formation energy from raw total energies: -19.43 eV/f.u.

abc: 7.657 7.657 8.783
angles: 98.35 98.35 119.99
Each line ends with the local moment (μB).
Element x y z (fractional)
Se: 0.744 0.744 0.191  -0.01
Se: 0.384 0.063 0.190  -0.01
Pa: 0.000 0.000 0.000  1.25
Se: 0.256 0.256 0.809  -0.01
Se: 0.937 0.616 0.810  -0.01
Se: 0.616 0.937 0.810  -0.01
Cs: 0.170 0.830 0.500  0.00
La: 0.334 0.666 0.000  0.08
La: 0.666 0.334 0.000  0.08
Se: 0.063 0.384 0.190  -0.01
Cs: 0.500 0.500 0.500  0.00
Cs: 0.830 0.170 0.500  0.00

Record 18
First-principles (PBE-GGA) data for a relaxed Cs4La3PaSe8 crystal, as listed in the Alexandria database.

Computed properties:
- Magnetic moment: 1.81 μB/f.u.
- Energy: -5.14 eV per atom
- Formation energy from raw total energies: -26.75 eV/f.u.

abc: 8.892 9.850 8.893
angles: 116.85 119.99 90.00
Each line ends with the local moment (μB).
Element x y z (fractional)
Se: 0.732 0.693 0.463  0.00
La: 0.500 0.500 0.500  -0.05
Se: 0.775 0.310 0.033  0.01
Se: 0.258 0.310 0.033  0.01
Se: 0.268 0.307 0.537  0.00
Se: 0.225 0.690 0.967  0.01
Cs: 0.500 0.000 0.500  0.00
La: 0.000 0.500 0.500  -0.05
Pa: 0.000 0.500 0.000  -1.32
Se: 0.224 0.689 0.447  0.01
Cs: 0.500 0.000 0.000  0.00
Se: 0.742 0.690 0.967  0.01
Cs: 0.000 0.000 0.500  0.00
Se: 0.776 0.311 0.553  0.01
La: 0.500 0.500 0.000  -0.05
Cs: 0.000 0.000 0.000  0.00

Record 19
First-principles (PBE-GGA) data for a relaxed Cs3La3PaTe8 crystal, as listed in the Alexandria database.

Computed properties:
- Magnetic moment: 1.03 μB/f.u.
- Energy: -4.83 eV per atom
- Formation energy from raw total energies: -20.50 eV/f.u.

abc: 9.380 9.380 10.577
angles: 116.36 90.00 120.00
Each line ends with the local moment (μB).
Element x y z (fractional)
Te: 0.742 0.966 0.689  0.01
Te: 0.776 0.034 0.311  0.01
Te: 0.224 0.966 0.689  0.01
Te: 0.224 0.447 0.689  0.01
Cs: 0.000 0.000 0.000  0.00
Te: 0.268 0.536 0.304  0.00
La: 0.500 0.000 0.500  0.00
La: 0.500 0.500 0.500  0.00
Te: 0.776 0.553 0.311  0.01
Cs: 0.500 0.500 0.000  0.00
Te: 0.258 0.034 0.311  0.01
Pa: 0.000 0.000 0.500  -1.07
Cs: 0.000 0.500 0.000  0.00
Te: 0.732 0.464 0.696  0.00
La: 0.000 0.500 0.500  0.00

Record 20
First-principles (PBE-GGA) data for a relaxed Cs3La2PaTe6 crystal, as listed in the Alexandria database.

Computed properties:
- Magnetic moment: 1.85 μB/f.u.
- Energy: -4.68 eV per atom
- Formation energy from raw total energies: -15.43 eV/f.u.

abc: 8.131 8.131 9.367
angles: 98.32 98.32 119.98
Each line ends with the local moment (μB).
Element x y z (fractional)
La: 0.334 0.666 0.000  0.07
Te: 0.612 0.935 0.805  -0.01
Cs: 0.500 0.500 0.500  0.00
Te: 0.257 0.257 0.803  -0.01
Te: 0.388 0.065 0.195  -0.01
Cs: 0.830 0.170 0.500  0.00
Te: 0.065 0.388 0.195  -0.01
Cs: 0.170 0.830 0.500  0.00
Pa: 0.000 0.000 0.000  1.39
La: 0.666 0.334 0.000  0.07
Te: 0.935 0.612 0.805  -0.01
Te: 0.743 0.743 0.197  -0.01